Compound: LiTe2Mo
Source: Alexandria
Functional: PBE
Structure: relaxed

The uncorrected formation energy comes out at 146 kJ/mol of formula units. The offset from the most stable computed form is 579 meV per atom. The value obtained for the total energy is -4.38 eV/atom.

Cell lengths 3.2608, 3.2608, 28.6166 Å; angles 90.00, 90.00, 120.00 degrees
With the nearest neighbours (Å) after each atom.
Space group R-3m (No. 166, hexagonal axes)
One atom of each set of equivalent atoms:
Li1 0.0000 0.0000 0.0000 x3  6 Te 2.83
Te1 0.0000 0.0000 0.4070 x6  1 Mo 2.66, 3 Li 2.83
Mo1 0.0000 0.0000 0.5000 x3  2 Te 2.66